No. 1
A relaxed structure of NaYC. Source: the Alexandria database, functional PBE.

```
data_NaYC
_cell_length_a 3.407
_cell_length_b 5.061
_cell_length_c 8.303
_cell_angle_alpha 90.00
_cell_angle_beta 101.76
_cell_angle_gamma 90.00
_symmetry_space_group_name_H-M 'P 1 m 1'
_symmetry_Int_Tables_number 6
loop_
_symmetry_equiv_pos_as_xyz
'x,y,z'
'x,-y,z'
loop_
_atom_site_label
_atom_site_type_symbol
_atom_site_fract_x
_atom_site_fract_y
_atom_site_fract_z
_atom_site_occupancy
Na1 Na 0.000 0.000 0.000 1
Na2 Na 0.387 0.500 0.777 1
Y1 Y 0.626 0.500 0.254 1
Y2 Y 0.756 0.000 0.516 1
C1 C 0.231 0.363 0.467 1
```

Values from the calculation:
- energy of formation (eV per atom) = 0.13



No. 2
A relaxed structure of BPdPt2. Source: the Alexandria database, functional PBE.

```
data_BPdPt2
_cell_length_a 6.687
_cell_length_b 6.687
_cell_length_c 5.052
_cell_angle_alpha 90.00
_cell_angle_beta 90.00
_cell_angle_gamma 90.00
_symmetry_space_group_name_H-M 'I -4 2 d'
_symmetry_Int_Tables_number 122
_symmetry_space_group_name_Hall 'I -4 2bw'
loop_
_atom_site_label
_atom_site_type_symbol
_atom_site_fract_x
_atom_site_fract_y
_atom_site_fract_z
_atom_site_occupancy
B1 B 0.000 0.000 0.000 1
Pd1 Pd 0.000 0.000 0.500 1
Pt1 Pt 0.164 0.250 0.125 1
```

Values from the calculation:
- energy of formation (eV per atom) = -0.14



No. 3
A relaxed structure of Sc4Tl3Zn. Source: the Alexandria database, functional PBE.

```
data_Sc4Tl3Zn
_cell_length_a 3.450
_cell_length_b 3.450
_cell_length_c 14.926
_cell_angle_alpha 90.00
_cell_angle_beta 90.00
_cell_angle_gamma 90.00
_symmetry_space_group_name_H-M 'P 4/m m m'
_symmetry_Int_Tables_number 123
_symmetry_space_group_name_Hall '-P 4 2'
loop_
_atom_site_label
_atom_site_type_symbol
_atom_site_fract_x
_atom_site_fract_y
_atom_site_fract_z
_atom_site_occupancy
Sc1 Sc 0.000 0.000 0.106 1
Sc2 Sc 0.000 0.000 0.367 1
Tl1 Tl 0.500 0.500 0.235 1
Tl2 Tl 0.500 0.500 0.500 1
Zn1 Zn 0.500 0.500 0.000 1
```

Values from the calculation:
- energy of formation (eV per atom) = -0.30



No. 4
A relaxed structure of Pr5HgRu2. Source: the Alexandria database, functional PBE.

```
data_Pr5HgRu2
_cell_length_a 8.017
_cell_length_b 8.017
_cell_length_c 13.998
_cell_angle_alpha 90.00
_cell_angle_beta 90.00
_cell_angle_gamma 90.00
_symmetry_space_group_name_H-M 'I 4/m c m'
_symmetry_Int_Tables_number 140
_symmetry_space_group_name_Hall '-I 4 2c'
loop_
_atom_site_label
_atom_site_type_symbol
_atom_site_fract_x
_atom_site_fract_y
_atom_site_fract_z
_atom_site_occupancy
Pr1 Pr 0.000 0.000 0.000 1
Pr2 Pr 0.161 0.339 0.133 1
Hg1 Hg 0.000 0.000 0.250 1
Ru1 Ru 0.140 0.360 0.500 1
```

Values from the calculation:
- energy of formation (eV per atom) = -0.28



No. 5
A relaxed structure of TiZn2RhCl. Source: the Alexandria database, functional PBE.

```
data_TiZn2RhCl
_cell_length_a 4.556
_cell_length_b 4.556
_cell_length_c 4.362
_cell_angle_alpha 90.00
_cell_angle_beta 90.00
_cell_angle_gamma 90.00
_symmetry_space_group_name_H-M 'P 4/m m m'
_symmetry_Int_Tables_number 123
_symmetry_space_group_name_Hall '-P 4 2'
loop_
_atom_site_label
_atom_site_type_symbol
_atom_site_fract_x
_atom_site_fract_y
_atom_site_fract_z
_atom_site_occupancy
Ti1 Ti 0.000 0.000 0.000 1
Zn1 Zn 0.000 0.500 0.500 1
Rh1 Rh 0.500 0.500 0.000 1
Cl1 Cl 0.000 0.000 0.500 1
```

Values from the calculation:
- raw formation energy (meV/atom) = 663



No. 6
A relaxed structure of Pm4In2P. Source: the Alexandria database, functional PBE.

```
data_Pm4In2P
_cell_length_a 12.788
_cell_length_b 4.186
_cell_length_c 9.219
_cell_angle_alpha 90.00
_cell_angle_beta 122.46
_cell_angle_gamma 90.00
_symmetry_space_group_name_H-M 'C 1 2/m 1'
_symmetry_Int_Tables_number 12
loop_
_symmetry_equiv_pos_as_xyz
'x,y,z'
'-x,-y,-z'
'-x,y,-z'
'x,-y,z'
'x+1/2,y+1/2,z'
'-x+1/2,-y+1/2,-z'
'-x+1/2,y+1/2,-z'
'x+1/2,-y+1/2,z'
loop_
_atom_site_label
_atom_site_type_symbol
_atom_site_fract_x
_atom_site_fract_y
_atom_site_fract_z
_atom_site_occupancy
Pm1 Pm 0.090 0.000 0.353 1
Pm2 Pm 0.166 0.500 0.067 1
In1 In 0.128 0.500 0.662 1
P1 P 0.000 0.000 0.000 1
```

Values from the calculation:
- energy of formation (eV per atom) = -0.70



No. 7
A relaxed structure of MnCr2Pb. Source: the Alexandria database, functional PBE.

```
data_MnCr2Pb
_cell_length_a 4.111
_cell_length_b 4.111
_cell_length_c 7.635
_cell_angle_alpha 90.00
_cell_angle_beta 90.00
_cell_angle_gamma 90.00
_symmetry_space_group_name_H-M 'I -4 m 2'
_symmetry_Int_Tables_number 119
_symmetry_space_group_name_Hall 'I -4 -2'
loop_
_atom_site_label
_atom_site_type_symbol
_atom_site_fract_x
_atom_site_fract_y
_atom_site_fract_z
_atom_site_occupancy
Mn1 Mn 0.000 0.000 0.000 1
Cr1 Cr 0.000 0.000 0.500 1
Cr2 Cr 0.000 0.500 0.250 1
Pb1 Pb 0.000 0.500 0.750 1
```

Values from the calculation:
- energy of formation (eV per atom) = 0.49



No. 8
A relaxed structure of YZr2ScC. Source: the Alexandria database, functional PBE.

```
data_YZr2ScC
_cell_length_a 4.706
_cell_length_b 4.706
_cell_length_c 4.742
_cell_angle_alpha 90.00
_cell_angle_beta 90.00
_cell_angle_gamma 90.00
_symmetry_space_group_name_H-M 'P 4/m m m'
_symmetry_Int_Tables_number 123
_symmetry_space_group_name_Hall '-P 4 2'
loop_
_atom_site_label
_atom_site_type_symbol
_atom_site_fract_x
_atom_site_fract_y
_atom_site_fract_z
_atom_site_occupancy
Y1 Y 0.000 0.000 0.000 1
Zr1 Zr 0.000 0.500 0.500 1
Sc1 Sc 0.500 0.500 0.000 1
C1 C 0.500 0.500 0.500 1
```

Values from the calculation:
- energy of formation (eV per atom) = -0.13



No. 9
A relaxed structure of AlReHg. Source: the Alexandria database, functional PBE.

```
data_AlReHg
_cell_length_a 2.872
_cell_length_b 2.872
_cell_length_c 12.500
_cell_angle_alpha 90.00
_cell_angle_beta 90.00
_cell_angle_gamma 90.00
_symmetry_space_group_name_H-M 'I 4 m m'
_symmetry_Int_Tables_number 107
_symmetry_space_group_name_Hall 'I 4 -2'
loop_
_atom_site_label
_atom_site_type_symbol
_atom_site_fract_x
_atom_site_fract_y
_atom_site_fract_z
_atom_site_occupancy
Al1 Al 0.000 0.000 0.000 1
Re1 Re 0.000 0.000 0.637 1
Hg1 Hg 0.000 0.000 0.316 1
```

Values from the calculation:
- energy of formation (eV per atom) = 0.49



No. 10
A relaxed structure of YMgB3. Source: the Alexandria database, functional PBE.

```
data_YMgB3
_cell_length_a 4.606
_cell_length_b 4.606
_cell_length_c 4.606
_cell_angle_alpha 90.00
_cell_angle_beta 90.00
_cell_angle_gamma 90.00
_symmetry_space_group_name_H-M 'P m -3 m'
_symmetry_Int_Tables_number 221
_symmetry_space_group_name_Hall '-P 4 2 3'
loop_
_atom_site_label
_atom_site_type_symbol
_atom_site_fract_x
_atom_site_fract_y
_atom_site_fract_z
_atom_site_occupancy
Y1 Y 0.000 0.000 0.000 1
Mg1 Mg 0.500 0.500 0.500 1
B1 B 0.000 0.000 0.500 1
```

Values from the calculation:
- energy of formation (eV per atom) = 1.95



No. 11
A relaxed structure of RbTe2N2. Source: the Alexandria database, functional PBE.

```
data_RbTe2N2
_cell_length_a 4.571
_cell_length_b 4.571
_cell_length_c 6.463
_cell_angle_alpha 90.00
_cell_angle_beta 90.00
_cell_angle_gamma 90.00
_symmetry_space_group_name_H-M 'P 4/m m m'
_symmetry_Int_Tables_number 123
_symmetry_space_group_name_Hall '-P 4 2'
loop_
_atom_site_label
_atom_site_type_symbol
_atom_site_fract_x
_atom_site_fract_y
_atom_site_fract_z
_atom_site_occupancy
Rb1 Rb 0.000 0.000 0.000 1
Te1 Te 0.000 0.500 0.500 1
N1 N 0.500 0.500 0.000 1
N2 N 0.500 0.500 0.500 1
```

Values from the calculation:
- raw formation energy (meV/atom) = 1218



No. 12
A relaxed structure of PrNd5SmTm2. Source: the Alexandria database, functional PBE.

```
data_PrNd5SmTm2
_cell_length_a 5.724
_cell_length_b 20.575
_cell_length_c 10.626
_cell_angle_alpha 90.00
_cell_angle_beta 90.00
_cell_angle_gamma 90.00
_symmetry_space_group_name_H-M 'C m c 21'
_symmetry_Int_Tables_number 36
loop_
_symmetry_equiv_pos_as_xyz
'x,y,z'
'-x,-y,z+1/2'
'-x,y,z'
'x,-y,z+1/2'
'x+1/2,y+1/2,z'
'-x+1/2,-y+1/2,z+1/2'
'-x+1/2,y+1/2,z'
'x+1/2,-y+1/2,z+1/2'
loop_
_atom_site_label
_atom_site_type_symbol
_atom_site_fract_x
_atom_site_fract_y
_atom_site_fract_z
_atom_site_occupancy
Pr1 Pr 0.000 0.087 0.000 1
Nd1 Nd 0.000 0.024 0.707 1
Nd2 Nd 0.000 0.110 0.421 1
Nd3 Nd 0.000 0.204 0.741 1
Nd4 Nd 0.000 0.220 0.136 1
Nd5 Nd 0.000 0.484 0.425 1
Sm1 Sm 0.000 0.301 0.436 1
Tm1 Tm 0.000 0.383 0.125 1
Tm2 Tm 0.000 0.387 0.714 1
```

Values from the calculation:
- energy of formation (eV per atom) = 0.15



No. 13
A relaxed structure of La4Dy5Y. Source: the Alexandria database, functional PBE.

```
data_La4Dy5Y
_cell_length_a 10.804
_cell_length_b 10.816
_cell_length_c 5.796
_cell_angle_alpha 90.00
_cell_angle_beta 90.00
_cell_angle_gamma 90.00
_symmetry_space_group_name_H-M 'P m m n'
_symmetry_Int_Tables_number 59
loop_
_symmetry_equiv_pos_as_xyz
'x,y,z'
'-x,-y,-z'
'-x+1/2,-y+1/2,z'
'x+1/2,y+1/2,-z'
'x+1/2,-y,-z'
'-x+1/2,y,z'
'-x,y+1/2,-z'
'x,-y+1/2,z'
loop_
_atom_site_label
_atom_site_type_symbol
_atom_site_fract_x
_atom_site_fract_y
_atom_site_fract_z
_atom_site_occupancy
La1 La 0.046 0.250 0.124 1
La2 La 0.250 0.046 0.876 1
Dy1 Dy 0.091 0.591 0.350 1
Dy2 Dy 0.250 0.250 0.501 1
Y1 Y 0.250 0.750 0.878 1
```

Values from the calculation:
- energy of formation (eV per atom) = 0.19



No. 14
A relaxed structure of La3Zn2Si3. Source: the Alexandria database, functional PBE.

```
data_La3Zn2Si3
_cell_length_a 4.243
_cell_length_b 11.279
_cell_length_c 15.614
_cell_angle_alpha 90.00
_cell_angle_beta 90.00
_cell_angle_gamma 90.00
_symmetry_space_group_name_H-M 'C m c m'
_symmetry_Int_Tables_number 63
_symmetry_space_group_name_Hall '-C 2c 2'
loop_
_atom_site_label
_atom_site_type_symbol
_atom_site_fract_x
_atom_site_fract_y
_atom_site_fract_z
_atom_site_occupancy
La1 La 0.000 0.050 0.250 1
La2 La 0.000 0.353 0.095 1
Zn1 Zn 0.000 0.357 0.617 1
Si1 Si 0.000 0.072 0.054 1
Si2 Si 0.000 0.228 0.750 1
```

Values from the calculation:
- raw formation energy (meV/atom) = -607



No. 15
A relaxed structure of Rb3In8Hg3. Source: the Alexandria database, functional PBE.

```
data_Rb3In8Hg3
_cell_length_a 5.253
_cell_length_b 11.379
_cell_length_c 15.098
_cell_angle_alpha 90.00
_cell_angle_beta 90.00
_cell_angle_gamma 90.00
_symmetry_space_group_name_H-M 'I m m m'
_symmetry_Int_Tables_number 71
_symmetry_space_group_name_Hall '-I 2 2'
loop_
_atom_site_label
_atom_site_type_symbol
_atom_site_fract_x
_atom_site_fract_y
_atom_site_fract_z
_atom_site_occupancy
Rb1 Rb 0.000 0.000 0.000 1
Rb2 Rb 0.000 0.000 0.318 1
In1 In 0.000 0.277 0.129 1
In2 In 0.000 0.361 0.323 1
Hg1 Hg 0.000 0.235 0.500 1
Hg2 Hg 0.000 0.500 0.000 1
```

Values from the calculation:
- energy of formation (eV per atom) = -0.08



No. 16
A relaxed structure of Fe2RePdN. Source: the Alexandria database, functional PBE.

```
data_Fe2RePdN
_cell_length_a 3.919
_cell_length_b 3.919
_cell_length_c 3.971
_cell_angle_alpha 90.00
_cell_angle_beta 90.00
_cell_angle_gamma 90.00
_symmetry_space_group_name_H-M 'P 4/m m m'
_symmetry_Int_Tables_number 123
_symmetry_space_group_name_Hall '-P 4 2'
loop_
_atom_site_label
_atom_site_type_symbol
_atom_site_fract_x
_atom_site_fract_y
_atom_site_fract_z
_atom_site_occupancy
Fe1 Fe 0.000 0.500 0.000 1
Re1 Re 0.000 0.000 0.500 1
Pd1 Pd 0.500 0.500 0.500 1
N1 N 0.000 0.000 0.000 1
```

Values from the calculation:
- raw formation energy (meV/atom) = 62



No. 17
A relaxed structure of LaCo2Rh. Source: the Alexandria database, functional PBE.

```
data_LaCo2Rh
_cell_length_a 6.377
_cell_length_b 6.377
_cell_length_c 6.377
_cell_angle_alpha 90.00
_cell_angle_beta 90.00
_cell_angle_gamma 90.00
_symmetry_space_group_name_H-M 'F m -3 m'
_symmetry_Int_Tables_number 225
_symmetry_space_group_name_Hall '-F 4 2 3'
loop_
_atom_site_label
_atom_site_type_symbol
_atom_site_fract_x
_atom_site_fract_y
_atom_site_fract_z
_atom_site_occupancy
La1 La 0.000 0.000 0.000 1
Co1 Co 0.250 0.250 0.250 1
Rh1 Rh 0.000 0.000 0.500 1
```

Values from the calculation:
- energy of formation (eV per atom) = 0.20



No. 18
A relaxed structure of ZrIrAu2. Source: the Alexandria database, functional PBE.

```
data_ZrIrAu2
_cell_length_a 4.118
_cell_length_b 4.118
_cell_length_c 8.290
_cell_angle_alpha 90.00
_cell_angle_beta 90.00
_cell_angle_gamma 90.00
_symmetry_space_group_name_H-M 'I -4 m 2'
_symmetry_Int_Tables_number 119
_symmetry_space_group_name_Hall 'I -4 -2'
loop_
_atom_site_label
_atom_site_type_symbol
_atom_site_fract_x
_atom_site_fract_y
_atom_site_fract_z
_atom_site_occupancy
Zr1 Zr 0.000 0.000 0.000 1
Ir1 Ir 0.000 0.500 0.750 1
Au1 Au 0.000 0.000 0.500 1
Au2 Au 0.000 0.500 0.250 1
```

Values from the calculation:
- energy of formation (eV per atom) = -0.45



No. 19
A relaxed structure of CuBI3. Source: the Alexandria database, functional PBE.

```
data_CuBI3
_cell_length_a 5.407
_cell_length_b 5.407
_cell_length_c 5.407
_cell_angle_alpha 90.00
_cell_angle_beta 90.00
_cell_angle_gamma 90.00
_symmetry_space_group_name_H-M 'P m -3 m'
_symmetry_Int_Tables_number 221
_symmetry_space_group_name_Hall '-P 4 2 3'
loop_
_atom_site_label
_atom_site_type_symbol
_atom_site_fract_x
_atom_site_fract_y
_atom_site_fract_z
_atom_site_occupancy
Cu1 Cu 0.000 0.000 0.000 1
B1 B 0.500 0.500 0.500 1
I1 I 0.000 0.000 0.500 1
```

Values from the calculation:
- raw formation energy (meV/atom) = 1015



No. 20
A relaxed structure of NaSn3Pb4. Source: the Alexandria database, functional PBE.

```
data_NaSn3Pb4
_cell_length_a 4.836
_cell_length_b 10.112
_cell_length_c 9.607
_cell_angle_alpha 90.00
_cell_angle_beta 90.00
_cell_angle_gamma 90.00
_symmetry_space_group_name_H-M 'P m m n'
_symmetry_Int_Tables_number 59
loop_
_symmetry_equiv_pos_as_xyz
'x,y,z'
'-x,-y,-z'
'-x+1/2,-y+1/2,z'
'x+1/2,y+1/2,-z'
'x+1/2,-y,-z'
'-x+1/2,y,z'
'-x,y+1/2,-z'
'x,-y+1/2,z'
loop_
_atom_site_label
_atom_site_type_symbol
_atom_site_fract_x
_atom_site_fract_y
_atom_site_fract_z
_atom_site_occupancy
Na1 Na 0.250 0.250 0.115 1
Sn1 Sn 0.250 0.505 0.889 1
Sn2 Sn 0.250 0.750 0.123 1
Pb1 Pb 0.250 0.003 0.369 1
Pb2 Pb 0.250 0.250 0.637 1
Pb3 Pb 0.250 0.750 0.635 1
```

Values from the calculation:
- energy of formation (eV per atom) = -0.02



| no. | energy (eV per atom) |
| --- | --- |
| 1 | -5.5434 |
| 2 | -6.1279 |
| 3 | -4.5076 |
| 4 | -5.6226 |
| 5 | -3.2654 |
| 6 | -4.9695 |
| 7 | -7.5424 |
| 8 | -7.9531 |
| 9 | -5.0060 |
| 10 | -3.6729 |
| 11 | -3.5627 |
| 12 | -4.5476 |
| 13 | -4.7295 |
| 14 | -4.8065 |
| 15 | -1.9192 |
| 16 | -8.5167 |
| 17 | -6.4226 |
| 18 | -6.4459 |
| 19 | -2.0700 |
| 20 | -3.5447 |